[1]
Compound: BeBRh
Source: Alexandria
Functional: GGA-PBE
Structure: relaxed

abc: 2.751 2.751 7.351
angles: 90.00 90.00 90.00
Space group I4mm (No. 107)
Symmetry-distinct sites (fractional):
Be 0.000 0.000 0.000
B 0.000 0.000 0.357
Rh 0.000 0.000 0.692

Values from the calculation:
DOS(E_F)	0.8	states/eV/f.u.
E_tot	-0.2241	hartree per atom
relative energy among the computed polymorphs	134	meV/atom
formation energy from the elements	-0.18	eV/atom

---

[2]
Compound: SrNiP2
Source: Alexandria
Functional: GGA-PBE
Structure: relaxed

abc: 3.9084 3.9084 11.1163
angles: 90.00 90.00 120.00
Space group P6_3/mmc (No. 194)
Symmetry-distinct sites (fractional):
Sr 0.3333 0.6667 0.2500
Ni 0.0000 0.0000 0.0000
P 0.3333 0.6667 0.5652

Values from the calculation:
DOS(E_F)	1.7	states/eV/f.u.
E_tot	-0.1891	hartree per atom
formation energy from the elements	-0.58	eV/atom

---

[3]
Compound: HoInSnI6
Source: Alexandria
Functional: GGA-PBE
Structure: relaxed

abc: 7.9988 7.9988 15.1261
angles: 90.00 90.00 120.00
Space group P-31c (No. 163)
Symmetry-distinct sites (fractional):
Ho 0.3333 0.6667 0.2500
In 0.0000 0.0000 0.0000
Sn 0.3333 0.6667 0.7500
I 0.0155 0.3682 0.1331

Values from the calculation:
DOS(E_F)	0.0	states/eV/f.u.
ΔE_f (raw)	-0.89	eV/atom
E_tot	-0.1168	hartree per atom

---

[4]
Compound: NiBiRh
Source: Alexandria
Functional: GGA-PBE
Structure: relaxed

abc: 8.863 3.881 6.700
angles: 90.00 90.00 90.00
Space group Amm2 (No. 38)
Symmetry-distinct sites (fractional):
Ni 0.137 0.000 0.000
Bi 0.308 0.000 0.666
Rh 0.000 0.000 0.666
Rh 0.500 0.000 0.000

Values from the calculation:
DOS(E_F)	3.3	states/eV/f.u.
E_tot	-0.2003	hartree per atom
formation energy from the elements	0.22	eV/atom

---

[5]
Compound: NdSmCuOs
Source: Alexandria
Functional: GGA-PBE
Structure: relaxed

abc: 7.050 7.050 7.050
angles: 90.00 90.00 90.00
Space group F-43m (No. 216)
Symmetry-distinct sites (fractional):
Nd 0.000 0.000 0.000
Sm 0.000 0.000 0.500
Cu 0.250 0.250 0.250
Os 0.250 0.250 0.750

Values from the calculation:
DOS(E_F)	1.9	states/eV/f.u.
E_tot	-0.2317	hartree per atom
formation energy from the elements	-0.10	eV/atom

---

[6]
Compound: AsPb2Se
Source: Alexandria
Functional: GGA-PBE
Structure: relaxed

abc: 4.2054 4.2054 22.6285
angles: 90.00 90.00 120.00
Space group R3m (No. 160, hexagonal axes)
Symmetry-distinct sites (fractional):
As 0.0000 0.0000 0.0000
Pb 0.0000 0.0000 0.4170
Pb 0.0000 0.0000 0.5956
Se 0.0000 0.0000 0.8286

Values from the calculation:
DOS(E_F)	2.8	states/eV/f.u.
ΔE_f (raw)	-0.15	eV/atom
E_tot	-0.1485	hartree per atom
relative energy among the computed polymorphs	54	meV/atom

---

Number 1 is which compound? BeBRh